## DyTmPd2 (PBE)

Data for crystalline DyTmPd2 at its relaxed geometry.

Unit cell a=6.983 b=6.983 c=6.983 alpha=33.85 beta=33.85 gamma=33.85
Sites, in units of the cell vectors:
Dy1 0.000 0.000 0.000
Tm1 0.500 0.500 0.500
Pd1 0.248 0.248 0.248
Pd2 0.752 0.752 0.752

Formation enthalpy at 0 K in eV per formula unit: -3.00
Symmetry: R-3m (166)
DFT total energy in eV per cell: -22.456
Spin magnetization in μB per formula unit: 0.00